A relaxed structure of Ag2PW, computed with PBE.

Properties
Electronic total energy = -5.640 eV per atom
Spin magnetization = 0.0 μB/f.u.
Formation energy = 1.5 eV per formula unit
Calculated density = 10.5 g/cm³

a = 4.606 Å, b = 4.606 Å, c = 5.425 Å
α = 70.84°, β = 70.84°, γ = 39.01°
Positions (direct):
Ag (0.778, 0.778, 0.767)
Ag (0.003, 0.003, 0.993)
P (0.500, 0.500, 0.392)
W (0.219, 0.219, 0.348)